Entry from the Alexandria database: a PBEsol-optimized structure of FeOs2Au (meta-GGA SCAN).

Properties
Space group ... P4/mmm (123)
Uncorrected energy ... -4.2120 Ry per atom
D(E_F) ... 0.915 states/eV/atom
V ... 55 Å³/cell
ΔE_f ... 0.454 eV per atom

a = 2.6835 Å, b = 2.6835 Å, c = 7.6524 Å
α = 90.00°, β = 90.00°, γ = 90.00°
Site moments in Bohr magnetons follow the coordinates.
Positions (direct):
Au1 0.5000 0.5000 0.0000  -0.02
Fe1 0.5000 0.5000 0.5000  2.17
Os1 0.0000 0.0000 0.7206  -0.04
Os2 0.0000 0.0000 0.2794  -0.04